Record 1
The following is a DFT calculation (PBE) of a relaxed structure of SnBiAuN.

Summary:
The value obtained for the polymorph energy (0 for the lowest one) is 15.8 kJ/mol of formula units.

```
data_SnBiAuN
_chemical_formula_sum 'Sn1 Bi1 Au1 N1'
_cell_length_a 3.443
_cell_length_b 3.445
_cell_length_c 8.933
_cell_angle_alpha 78.92
_cell_angle_beta 89.64
_cell_angle_gamma 60.04
_symmetry_space_group_name_H-M 'P 1'
_symmetry_Int_Tables_number 1
loop_
_symmetry_equiv_pos_as_xyz
'x,y,z'
loop_
_atom_site_label
_atom_site_type_symbol
_atom_site_fract_x
_atom_site_fract_y
_atom_site_fract_z
Sn1 Sn 0.000 0.000 0.000
Bi1 Bi 0.138 0.734 0.385
Au1 Au 0.562 0.897 0.645
N1 N 0.635 0.734 0.896
```

=====

Record 2
The following is a DFT calculation (PBE) of a relaxed structure of In2BiI.

Summary:
The value obtained for the polymorph energy (0 for the lowest one) is 68.5 kJ/mol of formula units.

```
data_In2BiI
_chemical_formula_sum 'In8 Bi4 I4'
_cell_length_a 8.235
_cell_length_b 8.235
_cell_length_c 9.560
_cell_angle_alpha 90.00
_cell_angle_beta 90.00
_cell_angle_gamma 90.00
_symmetry_space_group_name_H-M 'I -4 2 d'
_symmetry_Int_Tables_number 122
_symmetry_space_group_name_Hall 'I -4 2bw'
loop_
_atom_site_label
_atom_site_type_symbol
_atom_site_fract_x
_atom_site_fract_y
_atom_site_fract_z
In1 In 0.226 0.250 0.125
Bi1 Bi 0.000 0.000 0.000
I1 I 0.000 0.000 0.500
```

=====

Record 3
The following is a DFT calculation (PBE) of a relaxed structure of K8Hg2O.

Summary:
The value obtained for the polymorph energy (0 for the lowest one) is 73.5 kJ/mol of formula units.

```
data_K8Hg2O
_chemical_formula_sum 'K16 Hg4 O2'
_cell_length_a 22.426
_cell_length_b 6.052
_cell_length_c 7.587
_cell_angle_alpha 90.00
_cell_angle_beta 109.70
_cell_angle_gamma 90.00
_symmetry_space_group_name_H-M 'C 1 2/m 1'
_symmetry_Int_Tables_number 12
loop_
_symmetry_equiv_pos_as_xyz
'x,y,z'
'-x,-y,-z'
'-x,y,-z'
'x,-y,z'
'x+1/2,y+1/2,z'
'-x+1/2,-y+1/2,-z'
'-x+1/2,y+1/2,-z'
'x+1/2,-y+1/2,z'
loop_
_atom_site_label
_atom_site_type_symbol
_atom_site_fract_x
_atom_site_fract_y
_atom_site_fract_z
K1 K 0.003 0.000 0.275
K2 K 0.090 0.500 0.830
K3 K 0.098 0.500 0.384
K4 K 0.231 0.000 0.741
Hg1 Hg 0.154 0.000 0.155
O1 O 0.000 0.500 0.500
```

=====

Formation energy without anion corrections (kcal/mol of atoms)
6.6, 0.8, -6.9